VASP calculation (PBE) on crystalline Tb3TlPt8 at its relaxed geometry.

```
Tb3TlPt8
1.0
-0.193 3.828 3.884
-4.374 -0.939 -3.125
-2.868 -6.069 5.838
Tb Pt Tl
3 8 1
Direct
0.667 0.333 0.453
0.000 0.000 0.910
0.667 0.333 0.071
0.333 0.667 0.004
0.672 0.836 0.248
0.502 0.498 0.756
0.502 0.004 0.756
0.164 0.328 0.248
0.333 0.667 0.502
0.164 0.836 0.248
0.996 0.498 0.756
0.000 0.000 0.550
```

Results
- electronic total energy (eV per atom) = -6.27

---

VASP calculation (PBE) on crystalline Li2MnHBr at its relaxed geometry.

```
Li2MnHBr
1.0
5.365 0.000 0.000
0.000 3.426 0.000
0.000 0.000 5.365
Li Mn H Br
2 1 1 1
Direct
0.000 0.000 0.500
0.500 0.000 0.000
0.500 0.500 0.500
0.000 0.500 0.000
0.000 0.000 0.000
```

Results
- electronic total energy (eV per atom) = -3.16

---

VASP calculation (PBE) on crystalline LiPm2Cu4Si3 at its relaxed geometry.

```
LiPm2Cu4Si3
1.0
4.157 0.000 0.000
0.000 4.157 0.000
0.000 0.000 9.553
Cu Si Pm Li
4 3 2 1
Direct
0.000 0.000 0.000
0.500 0.000 0.622
0.000 0.500 0.378
0.500 0.500 0.000
0.500 0.000 0.866
0.000 0.000 0.500
0.000 0.500 0.134
0.000 0.500 0.756
0.500 0.000 0.244
0.500 0.500 0.500
```

Results
- formation energy without anion corrections (eV/atom) = -0.497
- electronic total energy (eV per atom) = -4.90